Record 1
18
Lattice="-3.991 3.991 5.305 3.991 -3.991 5.305 3.991 3.991 -5.305" Properties=species:S:1:pos:R:3 comment="Zr2CuPdPt5 PBE optimized geometry" energy_ev_per_atom=-6.38 dos_at_fermi_per_ev_cell=14.60 formation_enthalpy_0k_ev_per_atom=-0.090 pbc="T T T"
Zr 4.963 0.971 0.000
Zr 0.971 3.020 0.000
Zr 3.020 0.971 5.305
Zr -0.971 3.020 5.305
Cu 0.000 0.000 2.653
Cu 0.000 0.000 7.958
Pd 3.991 0.000 2.653
Pd 0.000 3.991 2.653
Pt 0.000 0.000 0.000
Pt 2.407 1.584 -1.428
Pt 2.407 -1.584 3.877
Pt 2.407 1.584 1.428
Pt 2.407 -1.584 6.733
Pt 0.000 0.000 5.305
Pt 1.584 5.575 -1.428
Pt 1.584 2.407 3.877
Pt 1.584 5.575 1.428
Pt 1.584 2.407 6.733

Record 2
16
Lattice="6.530 0.000 0.000 0.000 6.530 0.000 0.000 0.000 6.530" Properties=species:S:1:pos:R:3 comment="PuCu2Pd PBE optimized geometry" energy_ev_per_atom=-6.90 dos_at_fermi_per_ev_cell=64.65 formation_enthalpy_0k_ev_per_atom=0.029 pbc="T T T"
Pu 0.000 0.000 0.000
Pu 0.000 3.265 3.265
Pu 3.265 0.000 3.265
Pu 3.265 3.265 0.000
Cu 1.632 1.632 1.632
Cu 1.632 1.632 4.897
Cu 1.632 4.897 1.632
Cu 1.632 4.897 4.897
Cu 4.897 1.632 1.632
Cu 4.897 1.632 4.897
Cu 4.897 4.897 1.632
Cu 4.897 4.897 4.897
Pd 0.000 0.000 3.265
Pd 0.000 3.265 0.000
Pd 3.265 0.000 0.000
Pd 3.265 3.265 3.265